Entry 1:
Density functional theory data (SCAN) for a crystal of KCr2Fe relaxed with PBEsol.

Results
**Calculated total energy**: -58.7 eV/f.u.
**E_form**: 1.12 eV/atom
**V**: 273.8 Å³ per cell
**Total moment**: 12.90 μB per cell
**Offset from the most stable computed form**: 0.3464 eV/atom

abc: 6.494 6.494 6.494
angles: 90.00 90.00 90.00
Space group F-43m (No. 216)
Asymmetric unit:
1 K 0.000 0.000 0.000
2 Cr 0.000 0.000 0.500
3 Cr 0.250 0.250 0.250
4 Fe 0.250 0.250 0.750

=====

Entry 2:
Density functional theory data (SCAN) for a crystal of InPb5 relaxed with PBEsol.

Results
**Calculated total energy**: -412.2 eV/f.u.
**E_form**: 0.02 eV/atom
**V**: 347.8 Å³ per cell
**Total moment**: 0.00 μB per cell
**Offset from the most stable computed form**: 0.0000 eV/atom

abc: 4.955 14.151 4.961
angles: 90.00 90.00 90.00
Space group Cmmm (No. 65)
Asymmetric unit:
1 In 0.000 0.000 0.000
2 Pb 0.000 0.165 0.500
3 Pb 0.000 0.334 0.000
4 Pb 0.000 0.500 0.500